Entry 1:
A plane-wave DFT calculation with PBE was carried out for a relaxed CsBeTeN2 crystal.

Unit cell a=4.347 b=4.347 c=7.908 alpha=90.00 beta=90.00 gamma=90.00
Positions (direct):
Cs (0.000, 0.000, 0.000)
Be (0.500, 0.500, 0.500)
Te (0.000, 0.000, 0.500)
N (0.000, 0.500, 0.000)
N (0.500, 0.000, 0.000)

**Symmetry**: No. 123
**Uncorrected formation energy**: 12.5 eV per formula unit

Entry 2:
A plane-wave DFT calculation with PBE was carried out for a relaxed Cs2NaBe2 crystal.

Unit cell a=7.862 b=7.862 c=7.862 alpha=137.15 beta=137.15 gamma=62.20
Positions (direct):
Cs (0.250, 0.750, 0.500)
Cs (0.750, 0.250, 0.500)
Na (0.000, 0.000, 0.000)
Be (0.422, 0.422, 0.000)
Be (0.578, 0.578, 0.000)

**Calculated total energy**: -1.1566 eV/atom
**Symmetry**: No. 139

Entry 3:
A plane-wave DFT calculation with PBE was carried out for a relaxed CsNaBe2 crystal.

Unit cell a=5.665 b=5.665 c=5.665 alpha=60.00 beta=60.00 gamma=60.00
Positions (direct):
Cs (0.000, 0.000, 0.000)
Na (0.500, 0.500, 0.500)
Be (0.250, 0.250, 0.250)
Be (0.750, 0.750, 0.750)

**Calculated total energy**: -1.1513 eV/atom
**Symmetry**: No. 225

Entry 4:
A plane-wave DFT calculation with PBE was carried out for a relaxed CsNaBe3 crystal.

Unit cell a=5.401 b=5.401 c=5.401 alpha=90.00 beta=90.00 gamma=90.00
Positions (direct):
Cs (0.000, 0.000, 0.000)
Na (0.500, 0.500, 0.500)
Be (0.000, 0.500, 0.500)
Be (0.500, 0.000, 0.500)
Be (0.500, 0.500, 0.000)

**Calculated total energy**: -1.1049 eV/atom
**Symmetry**: No. 221

Spin magnetization / μB per atom: 0.45, 0.00, 0.00, 0.00